Computed, not measured: a crystal of Rb2FeAuN relaxed with PBEsol at the SCAN level of DFT.

Results
* symmetry: P4/mmm (123)
* calculated total energy: -0.9741 Ha/atom
* mass density: 4.0 g/cm3

Cell and atoms, written as POSCAR:
```
Rb2FeAuN
1.0
4.726 0.000 0.000
0.000 6.181 0.000
0.000 0.000 6.181
Au Fe Rb N
1 1 2 1
Direct
0.500 0.000 0.000
0.000 0.000 0.000
0.000 0.000 0.500
0.000 0.500 0.000
0.500 0.500 0.500
```